# NaNp5S6 | the Alexandria database | PBE-GGA | optimized geometry
data_NaNp5S6
_chemical_formula_sum 'Na1 Np5 S6'
_symmetry_space_group_name_H-M 'P 1'
_symmetry_Int_Tables_number 1
_cell_length_a 6.7841
_cell_length_b 6.7841
_cell_length_c 6.7870
_cell_angle_alpha 99.59
_cell_angle_beta 99.59
_cell_angle_gamma 119.98
loop_
_symmetry_equiv_pos_as_xyz
'x,y,z'
loop_
_atom_site_label
_atom_site_type_symbol
_atom_site_fract_x
_atom_site_fract_y
_atom_site_fract_z
Np1 Np 0.8353 0.1647 0.5000
Np2 Np 0.6663 0.3337 0.0000
Np3 Np 0.5000 0.5000 0.5000
Np4 Np 0.3337 0.6663 0.0000
Np5 Np 0.1647 0.8353 0.5000
Na1 Na 0.0000 0.0000 0.0000
S1 S 0.4201 0.0848 0.2492
S2 S 0.9152 0.5799 0.7508
S3 S 0.2525 0.2525 0.7494
S4 S 0.7475 0.7475 0.2506
S5 S 0.0848 0.4201 0.2492
S6 S 0.5799 0.9152 0.7508
# ΔE_f (raw) = -125 kJ/mol of atoms
# Uncorrected energy = -106.362 eV/cell


# SiSN2F | the Alexandria database | PBE-GGA | optimized geometry
data_SiSN2F
_chemical_formula_sum 'Si1 S1 N2 F1'
_symmetry_space_group_name_H-M 'P 1'
_symmetry_Int_Tables_number 1
_cell_length_a 3.7054
_cell_length_b 3.7054
_cell_length_c 3.5061
_cell_angle_alpha 90.00
_cell_angle_beta 90.00
_cell_angle_gamma 90.00
loop_
_symmetry_equiv_pos_as_xyz
'x,y,z'
loop_
_atom_site_label
_atom_site_type_symbol
_atom_site_fract_x
_atom_site_fract_y
_atom_site_fract_z
S1 S 0.5000 0.5000 0.5000
N1 N 0.0000 0.5000 0.0000
N2 N 0.5000 0.0000 0.0000
Si1 Si 0.0000 0.0000 0.0000
F1 F 0.0000 0.0000 0.5000
# ΔE_f (raw) = 24 kJ/mol of atoms
# Uncorrected energy = -26.820 eV/cell


# Be2FeBr | the Alexandria database | PBE-GGA | optimized geometry
data_Be2FeBr
_chemical_formula_sum 'Be2 Fe1 Br1'
_symmetry_space_group_name_H-M 'P 1'
_symmetry_Int_Tables_number 1
_cell_length_a 4.1127
_cell_length_b 4.1167
_cell_length_c 2.9510
_cell_angle_alpha 90.00
_cell_angle_beta 90.00
_cell_angle_gamma 90.00
loop_
_symmetry_equiv_pos_as_xyz
'x,y,z'
loop_
_atom_site_label
_atom_site_type_symbol
_atom_site_fract_x
_atom_site_fract_y
_atom_site_fract_z
Be1 Be 0.0000 0.0000 0.0000
Be2 Be 0.5000 0.5000 0.0000
Fe1 Fe 0.0000 0.5000 0.5000
Br1 Br 0.5000 0.0000 0.5000
# ΔE_f (raw) = 72 kJ/mol of atoms
# Uncorrected energy = -14.589 eV/cell


# AlGe2Mo2 | the Alexandria database | PBE-GGA | optimized geometry
data_AlGe2Mo2
_chemical_formula_sum 'Al1 Ge2 Mo2'
_symmetry_space_group_name_H-M 'P 1'
_symmetry_Int_Tables_number 1
_cell_length_a 4.1868
_cell_length_b 4.1868
_cell_length_c 5.9760
_cell_angle_alpha 69.49
_cell_angle_beta 69.49
_cell_angle_gamma 90.00
loop_
_symmetry_equiv_pos_as_xyz
'x,y,z'
loop_
_atom_site_label
_atom_site_type_symbol
_atom_site_fract_x
_atom_site_fract_y
_atom_site_fract_z
Mo1 Mo 0.7500 0.2500 0.5000
Mo2 Mo 0.2500 0.7500 0.5000
Ge1 Ge 0.3872 0.3872 0.2255
Ge2 Ge 0.6128 0.6128 0.7745
Al1 Al 0.0000 0.0000 0.0000
# Energy of formation from the pure elements = 0.3744 eV per atom
# Uncorrected energy = -32.767 eV/cell


# AcPu3Te4 | the Alexandria database | PBE-GGA | optimized geometry
data_AcPu3Te4
_chemical_formula_sum 'Ac1 Pu3 Te4'
_symmetry_space_group_name_H-M 'P 1'
_symmetry_Int_Tables_number 1
_cell_length_a 6.4222
_cell_length_b 6.4222
_cell_length_c 6.4222
_cell_angle_alpha 90.00
_cell_angle_beta 90.00
_cell_angle_gamma 90.00
loop_
_symmetry_equiv_pos_as_xyz
'x,y,z'
loop_
_atom_site_label
_atom_site_type_symbol
_atom_site_fract_x
_atom_site_fract_y
_atom_site_fract_z
Ac1 Ac 0.0000 0.0000 0.0000
Te1 Te 0.5000 0.0000 0.0000
Te2 Te 0.0000 0.5000 0.0000
Te3 Te 0.0000 0.0000 0.5000
Te4 Te 0.5000 0.5000 0.5000
Pu1 Pu 0.0000 0.5000 0.5000
Pu2 Pu 0.5000 0.0000 0.5000
Pu3 Pu 0.5000 0.5000 0.0000
# ΔE_f (raw) = -111 kJ/mol of atoms
# Uncorrected energy = -68.904 eV/cell


# Na2LiMn | the Alexandria database | PBE-GGA | optimized geometry
data_Na2LiMn
_chemical_formula_sum 'Na2 Li1 Mn1'
_symmetry_space_group_name_H-M 'P 1'
_symmetry_Int_Tables_number 1
_cell_length_a 5.2553
_cell_length_b 5.2553
_cell_length_c 5.2553
_cell_angle_alpha 60.00
_cell_angle_beta 60.00
_cell_angle_gamma 60.00
loop_
_symmetry_equiv_pos_as_xyz
'x,y,z'
loop_
_atom_site_label
_atom_site_type_symbol
_atom_site_fract_x
_atom_site_fract_y
_atom_site_fract_z
Na1 Na 0.2500 0.2500 0.2500
Na2 Na 0.7500 0.7500 0.7500
Mn1 Mn 0.5000 0.5000 0.5000
Li1 Li 0.0000 0.0000 0.0000
# Energy of formation from the pure elements = 0.5290 eV per atom
# Uncorrected energy = -11.605 eV/cell